(1)
First-principles (PBE-GGA) data for an optimized crystal structure of Zn3C5, as listed in Alexandria via LeMat-Bulk.

a b c (Å): 6.7235 6.7235 5.6407
angles (deg): 90.00 90.00 120.00
With the nearest neighbours (Å) after each atom.
Fractional positions:
Zn1 0.0960 0.6542 0.7500  3 C 1.92-2.13
Zn2 0.0516 0.4411 0.2500  3 C 2.01-2.21
Zn3 0.3458 0.4418 0.7500  3 C 1.92-2.13
Zn4 0.3895 0.9484 0.2500  3 C 2.01-2.21
Zn5 0.5582 0.9039 0.7500  3 C 1.92-2.13
Zn6 0.5589 0.6105 0.2500  3 C 2.01-2.21
C1 0.0041 0.8830 0.7500  2 C 1.39
C2 0.8789 0.9959 0.7500  2 C 1.39
C3 0.1097 0.9825 0.2500  2 C 1.39
C4 0.1170 0.1211 0.7500  2 C 1.39
C5 0.3333 0.6667 0.0076  6 Zn 2.13-2.21
C6 0.3333 0.6667 0.4924  6 Zn 2.13-2.21
C7 0.0175 0.1272 0.2500  2 C 1.39
C8 0.6667 0.3333 0.3639  1 C 1.28
C9 0.8728 0.8903 0.2500  2 C 1.39
C10 0.6667 0.3333 0.1361  1 C 1.28

Output
calculated volume	13.8	Å³ per atom
density of states at the Fermi level	3.5	states/eV/f.u.
SG	P-6
total moment	0.00	μB per cell
distance to the lowest polymorph of the same formula	175	meV per atom


(2)
First-principles (PBE-GGA) data for an optimized crystal structure of Zn5C, as listed in Alexandria via LeMat-Bulk.

a b c (Å): 5.0033 5.0033 5.0033
angles (deg): 60.00 60.00 60.00
With the nearest neighbours (Å) after each atom.
Fractional positions:
C1 0.0000 0.0000 0.0000  16 Zn 2.93-3.06
Zn1 0.3749 0.3749 0.3749  6 Zn 2.50
Zn2 0.3749 0.8754 0.3749  6 Zn 2.50
Zn3 0.3749 0.3749 0.8754  6 Zn 2.50
Zn4 0.7500 0.7500 0.7500  12 Zn 2.93, 4 C 3.06
Zn5 0.8754 0.3749 0.3749  6 Zn 2.50

Output
calculated volume	14.8	Å³ per atom
density of states at the Fermi level	3.6	states/eV/f.u.
SG	F-43m
total moment	0.00	μB per cell
distance to the lowest polymorph of the same formula	421	meV per atom


(3)
First-principles (PBE-GGA) data for an optimized crystal structure of Zn5C, as listed in Alexandria via LeMat-Bulk.

a b c (Å): 4.8370 4.8370 4.6352
angles (deg): 90.00 90.00 120.00
With the nearest neighbours (Å) after each atom.
Fractional positions:
Zn1 0.5000 0.0000 0.5000  8 Zn 2.42-2.71
Zn2 0.5000 0.5000 0.5000  8 Zn 2.42-2.71
Zn3 0.3333 0.6667 0.0000  9 Zn 2.71-2.79, 3 C 2.79
Zn4 0.0000 0.5000 0.5000  8 Zn 2.42-2.71
Zn5 0.6667 0.3333 0.0000  9 Zn 2.71-2.79, 3 C 2.79
C1 0.0000 0.0000 0.0000  6 Zn 2.79

Output
calculated volume	15.7	Å³ per atom
density of states at the Fermi level	1.6	states/eV/f.u.
SG	P6/mmm
total moment	0.13	μB per cell
distance to the lowest polymorph of the same formula	473	meV per atom


(4)
First-principles (PBE-GGA) data for an optimized crystal structure of Zn5C4, as listed in Alexandria via LeMat-Bulk.

a b c (Å): 7.2098 7.2098 7.2098
angles (deg): 91.63 91.63 160.57
With the nearest neighbours (Å) after each atom.
Fractional positions:
C1 0.0000 0.5889 0.5889  5 C 1.75-1.79
C2 0.4111 0.0000 0.4111  5 C 1.75-1.79
C3 0.5889 0.0000 0.5889  5 C 1.75-1.79
C4 0.0000 0.4111 0.4111  5 C 1.75-1.79
Zn1 0.6682 0.3318 0.0000  6 Zn 2.43-2.68
Zn2 0.6682 0.6682 0.3364  6 Zn 2.43-2.68
Zn3 0.3318 0.3318 0.6636  6 Zn 2.43-2.68
Zn4 0.3318 0.6682 0.0000  6 Zn 2.43-2.68
Zn5 0.0000 0.0000 0.0000  10 Zn 2.43-2.68

Output
calculated volume	13.7	Å³ per atom
density of states at the Fermi level	2.5	states/eV/f.u.
SG	I4/mmm
total moment	0.00	μB per cell
distance to the lowest polymorph of the same formula	29	meV per atom